Crystalline Sc2MnVO6 at its relaxed geometry. Source: the Alexandria database, functional GGA+U.

Computed properties:
uncorrected energy	-8.426	eV/atom
crystal system	triclinic
V	11.54	A^3/atom
total moment	6.00	μB/f.u.
symmetry	P1

POSCAR file:
```
Sc2MnVO6
1.0
-1.0915 3.8581 3.4035
-4.7882 0.2103 2.2736
-0.4024 -1.3894 5.4489
Mn O V Sc
1 6 1 2
Direct
0.8113 0.8041 0.5851
0.5790 0.2307 0.2373
0.1315 0.4018 0.7685
0.4068 0.7072 0.7563
0.2190 0.9390 0.2458
0.7054 0.1282 0.7601
0.9392 0.5925 0.2410
0.3200 0.3194 0.0475
0.0248 0.0120 0.9424
0.5246 0.5266 0.4313
```